1) Compound: LuSc2Cu4Si2Ge2
Source: the Open Quantum Materials Database
Functional: PBE
Structure: optimized geometry

- theoretical density (g/cm3) = 6.82
- symmetry = No. 71
- spin magnetization (μB per cell) = 0.00

Lattice parameters (Å, degrees): 7.6899 7.6899 7.6899 149.67 129.65 59.91
With the nearest neighbours (Å) after each atom.
Sites, in units of the cell vectors:
Lu 0.0000 0.0000 0.0000  4 Si 2.89, 2 Ge 2.93
Sc 0.3746 0.8746 0.5000  4 Si 2.87, 2 Ge 2.88, 6 Cu 2.89-3.05
Sc 0.6254 0.1254 0.5000  4 Si 2.87, 2 Ge 2.88, 6 Cu 2.89-3.05
Cu 0.0272 0.3337 0.6934  1 Si 2.36, 3 Ge 2.48-2.51, 1 Cu 2.53
Cu 0.3597 0.6663 0.6934  1 Si 2.36, 3 Ge 2.48-2.51, 1 Cu 2.53
Cu 0.6403 0.3337 0.3066  1 Si 2.36, 3 Ge 2.48-2.51, 1 Cu 2.53
Cu 0.9728 0.6663 0.3066  1 Si 2.36, 3 Ge 2.48-2.51, 1 Cu 2.53
Si 0.3181 0.5000 0.8181  2 Cu 2.36, 1 Si 2.38
Si 0.6819 0.5000 0.1819  2 Cu 2.36, 1 Si 2.38
Ge 0.2200 0.2200 0.0000  6 Cu 2.48-2.51
Ge 0.7800 0.7800 0.0000  6 Cu 2.48-2.51

2) Compound: LuSc2Cu4Si2Ge2
Source: the Open Quantum Materials Database
Functional: PBE
Structure: optimized geometry

- theoretical density (g/cm3) = 6.85
- symmetry = No. 71
- spin magnetization (μB per cell) = 0.00

Lattice parameters (Å, degrees): 7.6909 7.6909 7.6909 149.92 129.44 59.96
With the nearest neighbours (Å) after each atom.
Sites, in units of the cell vectors:
Lu 0.0000 0.0000 0.0000  4 Ge 2.85, 2 Si 2.93
Sc 0.3730 0.8730 0.5000  2 Si 2.85, 4 Ge 2.90, 6 Cu 2.91
Sc 0.6270 0.1270 0.5000  2 Si 2.85, 4 Ge 2.90, 6 Cu 2.91
Cu 0.0165 0.3237 0.6928  3 Si 2.43-2.45, 1 Ge 2.47, 1 Cu 2.53
Cu 0.3691 0.6763 0.6928  3 Si 2.43-2.45, 1 Ge 2.47, 1 Cu 2.53
Cu 0.6309 0.3237 0.3072  3 Si 2.43-2.45, 1 Ge 2.47, 1 Cu 2.53
Cu 0.9835 0.6763 0.3072  3 Si 2.43-2.45, 1 Ge 2.47, 1 Cu 2.53
Si 0.2199 0.2199 0.0000  6 Cu 2.43-2.45
Si 0.7801 0.7801 0.0000  6 Cu 2.43-2.45
Ge 0.3097 0.5000 0.8097  2 Cu 2.47, 1 Ge 2.50
Ge 0.6903 0.5000 0.1903  2 Cu 2.47, 1 Ge 2.50

Stability check: which of them is most stable? 2).

1) Compound: Lu2ScCu4Si2Ge2
Source: the Open Quantum Materials Database
Functional: PBE
Structure: optimized geometry

- theoretical density (g/cm3) = 7.92
- symmetry = No. 71
- spin magnetization (μB per cell) = 0.00

Lattice parameters (Å, degrees): 7.7750 7.7750 7.7750 149.69 130.72 58.96
With the nearest neighbours (Å) after each atom.
Sites, in units of the cell vectors:
Lu 0.1286 0.1286 0.0000  6 Cu 2.91-2.93, 2 Si 2.94, 4 Ge 2.97
Lu 0.8714 0.8714 0.0000  6 Cu 2.91-2.93, 2 Si 2.94, 4 Ge 2.97
Sc 0.5000 0.0000 0.5000  4 Ge 2.81, 2 Si 2.90
Cu 0.1315 0.3247 0.8068  3 Si 2.45-2.49, 1 Ge 2.47, 1 Cu 2.50
Cu 0.4821 0.6753 0.8068  3 Si 2.45-2.49, 1 Ge 2.47, 1 Cu 2.50
Cu 0.5179 0.3247 0.1932  3 Si 2.45-2.49, 1 Ge 2.47, 1 Cu 2.50
Cu 0.8685 0.6753 0.1932  3 Si 2.45-2.49, 1 Ge 2.47, 1 Cu 2.50
Si 0.2858 0.7858 0.5000  6 Cu 2.45-2.49
Si 0.7142 0.2142 0.5000  6 Cu 2.45-2.49
Ge 0.1998 0.5000 0.6998  2 Cu 2.47, 1 Ge 2.59
Ge 0.8002 0.5000 0.3002  2 Cu 2.47, 1 Ge 2.59

2) Compound: Lu2ScCu4Si2Ge2
Source: the Open Quantum Materials Database
Functional: PBE
Structure: optimized geometry

- theoretical density (g/cm3) = 7.87
- symmetry = No. 71
- spin magnetization (μB per cell) = 0.00

Lattice parameters (Å, degrees): 7.7679 7.7679 7.7679 149.37 130.74 59.13
With the nearest neighbours (Å) after each atom.
Sites, in units of the cell vectors:
Lu 0.1281 0.1281 0.0000  6 Cu 2.90-3.06, 4 Si 2.95, 2 Ge 2.96
Lu 0.8719 0.8719 0.0000  6 Cu 2.90-3.06, 4 Si 2.95, 2 Ge 2.96
Sc 0.5000 0.0000 0.5000  4 Si 2.88, 2 Ge 2.90
Cu 0.1420 0.3348 0.8071  1 Si 2.36, 3 Ge 2.49-2.57, 1 Cu 2.50
Cu 0.4723 0.6652 0.8071  1 Si 2.36, 3 Ge 2.49-2.57, 1 Cu 2.50
Cu 0.5277 0.3348 0.1929  1 Si 2.36, 3 Ge 2.49-2.57, 1 Cu 2.50
Cu 0.8580 0.6652 0.1929  1 Si 2.36, 3 Ge 2.49-2.57, 1 Cu 2.50
Si 0.1885 0.5000 0.6885  2 Cu 2.36, 1 Si 2.44
Si 0.8115 0.5000 0.3115  2 Cu 2.36, 1 Si 2.44
Ge 0.2855 0.7855 0.5000  6 Cu 2.49-2.57
Ge 0.7145 0.2145 0.5000  6 Cu 2.49-2.57

Stability check: which of them is most stable? 1).

1) Compound: LuCuGeSe3
Source: the Open Quantum Materials Database
Functional: PBE
Structure: optimized geometry

- theoretical density (g/cm3) = 7.02
- symmetry = No. 62
- spin magnetization (μB per cell) = 0.00

Lattice parameters (Å, degrees): 11.1651 4.0508 11.4725 90.00 90.00 90.00
With the nearest neighbours (Å) after each atom.
Sites, in units of the cell vectors:
Lu 0.0168 0.2500 0.1871  7 Se 2.78-3.10
Lu 0.4832 0.7500 0.6871  7 Se 2.78-3.10
Lu 0.5168 0.2500 0.3129  7 Se 2.78-3.10
Lu 0.9832 0.7500 0.8129  7 Se 2.78-3.10
Cu 0.2420 0.7500 0.2962  4 Se 2.39-2.48
Cu 0.2580 0.2500 0.7962  4 Se 2.39-2.48
Cu 0.7420 0.7500 0.2038  4 Se 2.39-2.48
Cu 0.7580 0.2500 0.7038  4 Se 2.39-2.48
Ge 0.1739 0.2500 0.5003  5 Se 2.79-2.94
Ge 0.3261 0.7500 0.0003  5 Se 2.79-2.94
Ge 0.6739 0.2500 0.9997  5 Se 2.79-2.94
Ge 0.8261 0.7500 0.4997  5 Se 2.79-2.94
Se 0.0381 0.7500 0.3706  1 Cu 2.43
Se 0.0981 0.2500 0.9353  1 Cu 2.39
Se 0.2225 0.7500 0.6765  2 Cu 2.48
Se 0.2775 0.2500 0.1765  2 Cu 2.48
Se 0.4019 0.7500 0.4353  1 Cu 2.39
Se 0.4619 0.2500 0.8706  1 Cu 2.43
Se 0.5381 0.7500 0.1294  1 Cu 2.43
Se 0.5981 0.2500 0.5647  1 Cu 2.39
Se 0.7225 0.7500 0.8235  2 Cu 2.48
Se 0.7775 0.2500 0.3235  2 Cu 2.48
Se 0.9019 0.7500 0.0647  1 Cu 2.39
Se 0.9619 0.2500 0.6294  1 Cu 2.43

2) Compound: LuCuGeSe3
Source: the Open Quantum Materials Database
Functional: PBE
Structure: optimized geometry

- theoretical density (g/cm3) = 6.92
- symmetry = No. 63
- spin magnetization (μB per cell) = 0.00

Lattice parameters (Å, degrees): 6.8327 6.8327 10.3388 90.00 90.00 146.96
With the nearest neighbours (Å) after each atom.
Sites, in units of the cell vectors:
Lu 0.0000 0.0000 0.0000  6 Se 2.82-2.85
Lu 0.0000 0.0000 0.5000  6 Se 2.82-2.85
Cu 0.4725 0.5275 0.7500  4 Se 2.45-2.49
Cu 0.5275 0.4725 0.2500  4 Se 2.45-2.49
Ge 0.2257 0.7743 0.2500  6 Se 2.90-3.09, 2 Cu 3.24
Ge 0.7743 0.2257 0.7500  6 Se 2.90-3.09, 2 Cu 3.24
Se 0.0910 0.9090 0.7500  2 Cu 2.49
Se 0.3536 0.6464 0.5676  1 Cu 2.45
Se 0.3536 0.6464 0.9324  1 Cu 2.45
Se 0.6464 0.3536 0.0676  1 Cu 2.45
Se 0.6464 0.3536 0.4324  1 Cu 2.45
Se 0.9090 0.0910 0.2500  2 Cu 2.49

Stability check: which of them is most stable? 2).

1) Compound: Tb2LuCu4Si2Ge2
Source: the Open Quantum Materials Database
Functional: PBE
Structure: optimized geometry

- theoretical density (g/cm3) = 8.36
- symmetry = No. 71
- spin magnetization (μB per cell) = 0.00

Lattice parameters (Å, degrees): 7.9251 7.9251 7.9251 149.60 131.09 58.69
With the nearest neighbours (Å) after each atom.
Sites, in units of the cell vectors:
Tb 0.1300 0.1300 0.0000  6 Cu 2.97-2.99, 2 Si 2.99, 4 Ge 3.03
Tb 0.8700 0.8700 0.0000  6 Cu 2.97-2.99, 2 Si 2.99, 4 Ge 3.03
Lu 0.5000 0.0000 0.5000  4 Ge 2.88, 2 Si 2.97
Cu 0.1366 0.3268 0.8098  3 Si 2.49-2.55, 1 Cu 2.50, 1 Ge 2.51
Cu 0.4830 0.6732 0.8098  3 Si 2.49-2.55, 1 Cu 2.50, 1 Ge 2.51
Cu 0.5170 0.3268 0.1902  3 Si 2.49-2.55, 1 Cu 2.50, 1 Ge 2.51
Cu 0.8634 0.6732 0.1902  3 Si 2.49-2.55, 1 Cu 2.50, 1 Ge 2.51
Si 0.2852 0.7852 0.5000  6 Cu 2.49-2.55
Si 0.7148 0.2148 0.5000  6 Cu 2.49-2.55
Ge 0.1959 0.5000 0.6959  2 Cu 2.51, 1 Ge 2.57
Ge 0.8041 0.5000 0.3041  2 Cu 2.51, 1 Ge 2.57

2) Compound: Tb2LuCu4Si2Ge2
Source: the Open Quantum Materials Database
Functional: PBE
Structure: optimized geometry

- theoretical density (g/cm3) = 8.31
- symmetry = No. 71
- spin magnetization (μB per cell) = 0.00

Lattice parameters (Å, degrees): 7.9169 7.9169 7.9169 149.29 131.07 58.89
With the nearest neighbours (Å) after each atom.
Sites, in units of the cell vectors:
Tb 0.1301 0.1301 0.0000  6 Cu 2.96-3.11, 2 Ge 2.99, 4 Si 3.02
Tb 0.8699 0.8699 0.0000  6 Cu 2.96-3.11, 2 Ge 2.99, 4 Si 3.02
Lu 0.5000 0.0000 0.5000  4 Si 2.94, 2 Ge 2.97
Cu 0.1475 0.3372 0.8103  1 Si 2.39, 1 Cu 2.49, 3 Ge 2.54-2.64
Cu 0.4731 0.6628 0.8103  1 Si 2.39, 1 Cu 2.49, 3 Ge 2.54-2.64
Cu 0.5269 0.3372 0.1897  1 Si 2.39, 1 Cu 2.49, 3 Ge 2.54-2.64
Cu 0.8525 0.6628 0.1897  1 Si 2.39, 1 Cu 2.49, 3 Ge 2.54-2.64
Si 0.1853 0.5000 0.6853  2 Cu 2.39, 1 Si 2.43
Si 0.8147 0.5000 0.3147  2 Cu 2.39, 1 Si 2.43
Ge 0.2849 0.7849 0.5000  6 Cu 2.54-2.64
Ge 0.7151 0.2151 0.5000  6 Cu 2.54-2.64

Stability check: which of them is most stable? 1).

1) Compound: Tm2LuCu4Si2Ge2
Source: the Open Quantum Materials Database
Functional: PBE
Structure: optimized geometry

- theoretical density (g/cm3) = 8.73
- symmetry = No. 71
- spin magnetization (μB per cell) = 0.00

Lattice parameters (Å, degrees): 7.8427 7.8427 7.8427 149.46 130.74 59.08
With the nearest neighbours (Å) after each atom.
Sites, in units of the cell vectors:
Tm 0.1287 0.1287 0.0000  6 Cu 2.93-3.10, 2 Ge 2.96, 4 Si 2.97
Tm 0.8713 0.8713 0.0000  6 Cu 2.93-3.10, 2 Ge 2.96, 4 Si 2.97
Lu 0.5000 0.0000 0.5000  4 Si 2.92, 2 Ge 2.95
Cu 0.1447 0.3362 0.8086  1 Si 2.38, 1 Cu 2.50, 3 Ge 2.52-2.60
Cu 0.4724 0.6638 0.8086  1 Si 2.38, 1 Cu 2.50, 3 Ge 2.52-2.60
Cu 0.5276 0.3362 0.1914  1 Si 2.38, 1 Cu 2.50, 3 Ge 2.52-2.60
Cu 0.8553 0.6638 0.1914  1 Si 2.38, 1 Cu 2.50, 3 Ge 2.52-2.60
Si 0.1850 0.5000 0.6850  2 Cu 2.38, 1 Si 2.42
Si 0.8150 0.5000 0.3150  2 Cu 2.38, 1 Si 2.42
Ge 0.2836 0.7836 0.5000  6 Cu 2.52-2.60
Ge 0.7164 0.2164 0.5000  6 Cu 2.52-2.60

2) Compound: Tm2LuCu4Si2Ge2
Source: the Open Quantum Materials Database
Functional: PBE
Structure: optimized geometry

- theoretical density (g/cm3) = 8.77
- symmetry = No. 71
- spin magnetization (μB per cell) = 0.00

Lattice parameters (Å, degrees): 7.8489 7.8489 7.8489 149.75 130.65 58.98
With the nearest neighbours (Å) after each atom.
Sites, in units of the cell vectors:
Tm 0.1293 0.1293 0.0000  6 Cu 2.94-2.96, 2 Si 2.94, 4 Ge 2.99
Tm 0.8707 0.8707 0.0000  6 Cu 2.94-2.96, 2 Si 2.94, 4 Ge 2.99
Lu 0.5000 0.0000 0.5000  4 Ge 2.86, 2 Si 2.95
Cu 0.1340 0.3256 0.8084  3 Si 2.47-2.52, 1 Ge 2.50, 1 Cu 2.51
Cu 0.4827 0.6744 0.8084  3 Si 2.47-2.52, 1 Ge 2.50, 1 Cu 2.51
Cu 0.5173 0.3256 0.1916  3 Si 2.47-2.52, 1 Ge 2.50, 1 Cu 2.51
Cu 0.8660 0.6744 0.1916  3 Si 2.47-2.52, 1 Ge 2.50, 1 Cu 2.51
Si 0.2840 0.7840 0.5000  6 Cu 2.47-2.52
Si 0.7160 0.2160 0.5000  6 Cu 2.47-2.52
Ge 0.1949 0.5000 0.6949  2 Cu 2.50, 1 Ge 2.56
Ge 0.8051 0.5000 0.3051  2 Cu 2.50, 1 Ge 2.56

Stability check: which of them is most stable? 2).

1) Compound: LuCuGeW
Source: the Open Quantum Materials Database
Functional: PBE
Structure: optimized geometry

- theoretical density (g/cm3) = 12.13
- symmetry = No. 216
- spin magnetization (μB per cell) = 0.00

Lattice parameters (Å, degrees): 4.5760 4.5760 4.5760 60.00 60.00 60.00
With the nearest neighbours (Å) after each atom.
Sites, in units of the cell vectors:
Lu 0.0000 0.0000 0.0000  4 W 2.80, 4 Cu 2.80
Cu 0.7500 0.7500 0.7500  4 Ge 2.80, 4 Lu 2.80
Ge 0.5000 0.5000 0.5000  4 W 2.80, 4 Cu 2.80
W 0.2500 0.2500 0.2500  4 Ge 2.80, 4 Lu 2.80

2) Compound: LuCuGeW
Source: the Open Quantum Materials Database
Functional: PBE
Structure: optimized geometry

- theoretical density (g/cm3) = 11.55
- symmetry = No. 216
- spin magnetization (μB per cell) = 1.04

Lattice parameters (Å, degrees): 4.6511 4.6511 4.6511 60.00 60.00 60.00
With the nearest neighbours (Å) after each atom.
Sites, in units of the cell vectors:
Lu 0.0000 0.0000 0.0000  4 Ge 2.85, 4 W 2.85
Cu 0.5000 0.5000 0.5000  4 W 2.85, 4 Ge 2.85
Ge 0.2500 0.2500 0.2500  4 Cu 2.85, 4 Lu 2.85
W 0.7500 0.7500 0.7500  4 Cu 2.85, 4 Lu 2.85

Stability check: which of them is most stable? 1).